# Ba4SrCu

Ba4SrCu after structural relaxation (PBE, the Alexandria database).

Cell: 11.0670 11.0670 11.0670 Å, 90.00 90.00 90.00°
Space group F-43m (No. 216)
Unique sites:
Ba (0.1246, 0.1246, 0.1246) [16 per cell]
Sr (0.0000, 0.0000, 0.5000) [4 per cell]
Cu (0.2500, 0.2500, 0.7500) [4 per cell]

Computed properties:
Energy of formation, meV per atom: 541
DFT total energy, eV/f.u.: -10.2


# BaSrCu10

BaSrCu10 after structural relaxation (PBE, the Alexandria database).

Cell: 3.9783 5.4211 9.3249 Å, 90.00 90.00 90.00°
Space group Pmmm (No. 47)
Unique sites:
Ba (0.0000, 0.0000, 0.0000) [1 per cell]
Sr (0.0000, 0.5000, 0.5000) [1 per cell]
Cu (0.0000, 0.0000, 0.3387) [2 per cell]
Cu (0.0000, 0.5000, 0.1723) [2 per cell]
Cu (0.5000, 0.0000, 0.5000) [1 per cell]
Cu (0.5000, 0.2540, 0.2573) [4 per cell]
Cu (0.5000, 0.5000, 0.0000) [1 per cell]

Computed properties:
Energy of formation, meV per atom: -21
DFT total energy, eV/f.u.: -44.8


# Ba3SrCu

Ba3SrCu after structural relaxation (PBE, the Alexandria database).

Cell: 7.0316 7.0316 7.0316 Å, 90.00 90.00 90.00°
Space group Pm-3m (No. 221)
Unique sites:
Ba (0.0000, 0.0000, 0.5000) [3 per cell]
Sr (0.0000, 0.0000, 0.0000) [1 per cell]
Cu (0.5000, 0.5000, 0.5000) [1 per cell]

Computed properties:
Energy of formation, meV per atom: 966
Energy above the lowest structure with this stoichiometry, eV/f.u.: 4.75
DFT total energy, eV/f.u.: -6.7


# Ba3SrCu2

Ba3SrCu2 after structural relaxation (PBE, the Alexandria database).

Cell: 19.8959 4.4644 14.3976 Å, 90.00 125.47 90.00°
Space group C2/m (No. 12)
Unique sites:
Ba (0.0867, 0.0000, 0.4482) [4 per cell]
Ba (0.0885, 0.0000, 0.9429) [4 per cell]
Ba (0.1607, 0.5000, 0.2584) [4 per cell]
Sr (0.1630, 0.5000, 0.7658) [4 per cell]
Cu (0.2390, 0.5000, 0.0314) [4 per cell]
Cu (0.2387, 0.5000, 0.5300) [4 per cell]

Computed properties:
Energy of formation, meV per atom: -36
DFT total energy, eV/f.u.: -15.9